{
  "formula": "TaCr2Mo2",
  "functional": "meta-GGA SCAN",
  "state": "PBEsol geometry",
  "lattice": [[4.0116, 0.0000, 0.0000], [0.0000, 4.0116, 0.0000], [-2.0058, -2.0058, 4.7692]],
  "species": ["Cr", "Cr", "Mo", "Mo", "Ta"],
  "frac_coords": [[0.3891, 0.3891, 0.7783], [0.6109, 0.6109, 0.2217], [0.2500, 0.7500, 0.5000], [0.7500, 0.2500, 0.5000], [0.0000, 0.0000, 0.0000]],
  "space_group": "No. 139",
  "formation_enthalpy_0k_ev_per_fu": 3.1
}